[1]
Material: PaHgPbO5
Method: DFT, PBE
State: optimized geometry

The structure belongs to space group C2/c (No. 15); the cell edges are 8.477, 9.771 and 8.391 Å and the angles 90.00°, 119.50° and 90.00°. Symmetry generates all atoms from Pa at (0.000, 0.000, 0.000), Hg at (0.000, 0.314, 0.250), Pb at (0.000, 0.330, 0.750), O at (0.000, 0.028, 0.750), O at (0.002, 0.232, 0.496) and O at (0.205, 0.493, 0.852).

The crystal system is monoclinic. The volume is 18.90 A^3/atom. The total magnetic moment comes out at 0.00 Bohr magnetons per cell. The formation energy from raw total energies is -1.823 eV/atom. The calculation puts the density at 7.9 Mg/m³.

***

[2]
Material: SmMnSi2Os
Method: DFT, PBE
State: optimized geometry

The structure belongs to space group I-4m2 (No. 119); the cell edges are 4.027, 4.027 and 10.370 Å and the angles 90.00°, 90.00° and 90.00°. Symmetry generates all atoms from Sm at (0.000, 0.000, 0.000), Mn at (0.000, 0.500, 0.250), Si at (0.000, 0.000, 0.378) and Os at (0.000, 0.500, 0.750).

The crystal system is tetragonal. The volume is 16.82 A^3/atom. The total magnetic moment comes out at 5.40 Bohr magnetons per cell. The formation energy from raw total energies is -0.688 eV/atom. The calculation puts the density at 8.9 Mg/m³.